Entry 1:
This record from Alexandria describes a relaxed structure of Ac4LaBi5. The functional is PBE-GGA.

Cell and atoms, written as extended XYZ:
```
10
Lattice="4.761 0.000 -0.918 -0.353 6.598 -1.831 0.005 -0.003 12.824" Properties=species:S:1:pos:R:3 pbc="T T T"
Ac 1.769 2.640 9.169
Ac 3.536 5.287 5.531
Ac 0.876 1.308 4.542
Ac 2.643 3.955 0.905
La 0.000 0.000 0.000
Bi 2.805 0.634 1.743
Bi 3.703 1.974 6.396
Bi 0.710 4.621 3.678
Bi -0.177 3.299 -0.916
Bi 1.607 5.961 8.330
```

The total energy is -50.88 eV/cell. The calculation puts the calculated formation energy at -10.11 eV per formula unit.

Entry 2:
This record from Alexandria describes a relaxed structure of MgScAl. The functional is PBE-GGA.

Cell and atoms, written as extended XYZ:
```
3
Lattice="-2.777 -3.537 -1.109 1.126 -4.313 1.261 -2.432 -2.158 3.299" Properties=species:S:1:pos:R:3 pbc="T T T"
Al -2.042 -5.004 1.725
Mg -3.063 -7.506 2.588
Sc 0.000 0.000 0.000
```

The total energy is -11.09 eV/cell. The calculation puts the calculated formation energy at 0.58 eV per formula unit.

Entry 3:
This record from Alexandria describes a relaxed structure of Ho3Ag3SnSe8. The functional is PBE-GGA.

Cell and atoms, written as extended XYZ:
```
15
Lattice="8.201 0.000 0.000 -4.100 7.099 -0.035 0.000 -4.721 6.631" Properties=species:S:1:pos:R:3 pbc="T T T"
Ho 4.100 -2.360 3.316
Ho 2.050 1.189 3.298
Ho -2.050 1.189 3.298
Ag 0.000 0.000 0.000
Ag -2.050 3.550 -0.017
Ag 2.050 3.550 -0.017
Sn 0.000 -2.360 3.316
Se 0.000 2.364 1.715
Se 4.100 0.014 4.882
Se 4.100 2.459 1.707
Se 0.000 -0.080 4.890
Se 2.131 5.867 1.689
Se 1.969 -3.488 4.907
Se -2.131 5.867 1.689
Se 6.232 -3.488 4.907
```

The total energy is -68.94 eV/cell. Its raw formation energy is -0.985 eV per atom.

Entry 4:
This record from Alexandria describes a relaxed structure of GdZrIn. The functional is PBE-GGA.

Cell and atoms, written as extended XYZ:
```
3
Lattice="3.356 0.000 0.000 0.000 3.356 0.000 -1.678 -1.678 6.860" Properties=species:S:1:pos:R:3 pbc="T T T"
Gd 1.678 1.678 1.627
Zr 1.678 1.678 6.051
In 0.000 0.000 3.985
```

The total energy is -25.95 eV/cell. The calculation puts the calculated formation energy at -0.58 eV per formula unit. The energy above the most stable polymorph in this dataset comes out at 0.00 eV/f.u.

Entry 5:
This record from Alexandria describes a relaxed structure of ScTaN2. The functional is PBE-GGA.

Cell and atoms, written as extended XYZ:
```
8
Lattice="4.839 0.000 0.000 0.000 4.839 0.000 2.419 2.419 4.785" Properties=species:S:1:pos:R:3 pbc="T T T"
Sc 2.419 2.419 0.000
Sc 2.419 4.839 2.392
N 3.733 1.210 1.196
N 1.106 3.629 1.196
N 3.629 3.525 3.588
N 6.049 6.153 3.588
Ta 0.000 0.000 0.000
Ta 4.839 2.419 2.392
```

The total energy is -79.61 eV/cell. Its raw formation energy is -1.243 eV per atom. The energy above the most stable polymorph in this dataset comes out at 1.63 eV/f.u.

Entry 6:
This record from Alexandria describes a relaxed structure of Ca2Cd4Hg. The functional is PBE-GGA.

Cell and atoms, written as extended XYZ:
```
14
Lattice="6.280 0.000 -2.007 0.000 6.008 0.000 0.427 0.000 9.604" Properties=species:S:1:pos:R:3 pbc="T T T"
Ca 2.103 1.502 9.032
Ca 4.603 4.506 -1.435
Ca 0.796 4.506 3.709
Ca 5.910 1.502 3.888
Hg 6.100 1.502 0.054
Hg 0.607 4.506 7.543
Cd 3.968 3.013 1.525
Cd 5.120 1.502 7.061
Cd 1.587 4.506 0.535
Cd 3.968 5.999 1.525
Cd 4.353 4.506 4.092
Cd 2.739 0.009 6.072
Cd 2.739 2.995 6.072
Cd 2.354 1.502 3.505
```

The total energy is -19.76 eV/cell. The calculation puts the calculated formation energy at -1.91 eV per formula unit.

Entry 7:
This record from Alexandria describes a relaxed structure of Rb2HgBiCl6. The functional is PBE-GGA.

Cell and atoms, written as extended XYZ:
```
10
Lattice="-2.387 -5.775 4.837 -1.628 -7.166 -2.905 4.799 -6.080 1.563" Properties=species:S:1:pos:R:3 pbc="T T T"
Rb 0.588 -14.266 2.621
Rb 0.196 -4.755 0.874
Hg 0.392 -9.511 1.748
Bi 0.000 0.000 0.000
Cl -1.034 -7.594 3.333
Cl 2.653 -7.750 1.653
Cl 1.818 -11.428 0.162
Cl -0.644 -8.307 -0.640
Cl 1.429 -10.714 4.135
Cl -1.869 -11.271 1.842
```

The total energy is -29.52 eV/cell. Its raw formation energy is -1.232 eV per atom.

Entry 8:
This record from Alexandria describes a relaxed structure of Sc2TaCu. The functional is PBE-GGA.

Cell and atoms, written as extended XYZ:
```
4
Lattice="3.072 0.029 0.000 -0.025 3.072 0.000 0.000 0.000 8.219" Properties=species:S:1:pos:R:3 pbc="T T T"
Cu 1.523 1.551 6.032
Sc 0.000 0.000 7.850
Sc 1.523 1.551 2.293
Ta 0.000 0.000 4.372
```

The total energy is -28.44 eV/cell. The calculation puts the calculated formation energy at 0.17 eV per formula unit. The energy above the most stable polymorph in this dataset comes out at 0.36 eV/f.u.